Compound: SrNd2CoO5
Source: the Alexandria database
Functional: PBE with a Hubbard U
Structure: optimized geometry

Lattice parameters (Å, degrees): 6.721 6.721 5.661 90.00 90.00 90.00
Space group P4/mbm (No. 127)
Symmetry-distinct sites (fractional):
Sr: 0.000 0.000 0.000
Nd: 0.173 0.327 0.500
Co: 0.000 0.500 0.000
O: 0.000 0.000 0.500
O: 0.138 0.638 0.236

Calculated values
- Uncorrected energy: -7.157 eV/atom